# 1
A relaxed Cs2Hg2Sb crystal, computed with GGA-PBE.

Lattice parameters (Å, degrees): 7.4205 7.4205 8.8145 90.00 90.00 90.00
Closest atoms and distances in Å follow each position.
Sites, in units of the cell vectors:
Cs1 0.0000 0.5000 0.2500  4 Hg 3.78
Cs2 0.0000 0.5000 0.7500  4 Hg 3.78
Cs3 0.5000 0.0000 0.2500  4 Hg 3.78
Cs4 0.5000 0.0000 0.7500  4 Hg 3.78
Hg1 0.0000 0.0000 0.1692  1 Sb 2.92, 1 Hg 2.98
Hg2 0.0000 0.0000 0.8308  1 Sb 2.92, 1 Hg 2.98
Hg3 0.5000 0.5000 0.3308  1 Sb 2.92, 1 Hg 2.98
Hg4 0.5000 0.5000 0.6692  1 Sb 2.92, 1 Hg 2.98
Sb1 0.0000 0.0000 0.5000  2 Hg 2.92
Sb2 0.5000 0.5000 0.0000  2 Hg 2.92

Spin magnetization, μB per cell: 0.00
ΔE_f (raw), eV per atom: -0.28
Crystal system: tetragonal
ΔE to the lowest computed polymorph, meV/atom: 65



# 2
A relaxed Cs3Hg12Sb5 crystal, computed with GGA-PBE.

Lattice parameters (Å, degrees): 16.5157 16.5157 16.5157 109.47 109.47 109.47
Closest atoms and distances in Å follow each position.
Sites, in units of the cell vectors:
Cs1 0.1250 0.2500 0.3750  4 Hg 3.87
Cs2 0.1250 0.3750 0.7500  4 Hg 3.87
Cs3 0.2500 0.3750 0.1250  4 Hg 3.87
Cs4 0.2500 0.8750 0.6250  4 Hg 3.87
Cs5 0.3750 0.1250 0.2500  4 Hg 3.87
Cs6 0.3750 0.7500 0.1250  4 Hg 3.87
Cs7 0.6250 0.2500 0.8750  4 Hg 3.87
Cs8 0.6250 0.8750 0.7500  4 Hg 3.87
Cs9 0.7500 0.1250 0.3750  4 Hg 3.87
Cs10 0.7500 0.6250 0.8750  4 Hg 3.87
Cs11 0.8750 0.6250 0.2500  4 Hg 3.87
Cs12 0.8750 0.7500 0.6250  4 Hg 3.87
Hg1 0.0145 0.6970 0.0583  2 Sb 2.89-2.97, 1 Hg 3.01
Hg2 0.0145 0.8175 0.9562  2 Sb 2.89-2.97, 1 Hg 3.01
Hg3 0.0438 0.5583 0.8613  2 Sb 2.89-2.97, 1 Hg 3.01
Hg4 0.0438 0.9855 0.1825  2 Sb 2.89-2.97, 1 Hg 3.01
Hg5 0.0583 0.0145 0.6970  2 Sb 2.89-2.97, 1 Hg 3.01
Hg6 0.0583 0.5438 0.3613  2 Sb 2.89-2.97, 1 Hg 3.01
Hg7 0.1387 0.6825 0.6970  2 Sb 2.89-2.97, 1 Hg 3.01
Hg8 0.1387 0.9562 0.4417  2 Sb 2.89-2.97, 1 Hg 3.01
Hg9 0.1825 0.0438 0.9855  2 Sb 2.89-2.97, 1 Hg 3.01
Hg10 0.1825 0.6387 0.1970  2 Sb 2.89-2.97, 1 Hg 3.01
Hg11 0.1970 0.1825 0.6387  2 Sb 2.89-2.97, 1 Hg 3.01
Hg12 0.1970 0.5145 0.5583  2 Sb 2.89-2.97, 1 Hg 3.01
Hg13 0.3030 0.8613 0.3175  2 Sb 2.89-2.97, 1 Hg 3.01
Hg14 0.3030 0.9417 0.9855  2 Sb 2.89-2.97, 1 Hg 3.01
Hg15 0.3175 0.3030 0.8613  2 Sb 2.89-2.97, 1 Hg 3.01
Hg16 0.3175 0.5145 0.4562  2 Sb 2.89-2.97, 1 Hg 3.01
Hg17 0.3613 0.0583 0.5438  2 Sb 2.89-2.97, 1 Hg 3.01
Hg18 0.3613 0.8030 0.8175  2 Sb 2.89-2.97, 1 Hg 3.01
Hg19 0.4417 0.1387 0.9562  2 Sb 2.89-2.97, 1 Hg 3.01
Hg20 0.4417 0.8030 0.4855  2 Sb 2.89-2.97, 1 Hg 3.01
Hg21 0.4562 0.3175 0.5145  2 Sb 2.89-2.97, 1 Hg 3.01
Hg22 0.4562 0.6387 0.9417  2 Sb 2.89-2.97, 1 Hg 3.01
Hg23 0.4855 0.4417 0.8030  2 Sb 2.89-2.97, 1 Hg 3.01
Hg24 0.4855 0.5438 0.6825  2 Sb 2.89-2.97, 1 Hg 3.01
Hg25 0.5145 0.4562 0.3175  2 Sb 2.89-2.97, 1 Hg 3.01
Hg26 0.5145 0.5583 0.1970  2 Sb 2.89-2.97, 1 Hg 3.01
Hg27 0.5438 0.3613 0.0583  2 Sb 2.89-2.97, 1 Hg 3.01
Hg28 0.5438 0.6825 0.4855  2 Sb 2.89-2.97, 1 Hg 3.01
Hg29 0.5583 0.1970 0.5145  2 Sb 2.89-2.97, 1 Hg 3.01
Hg30 0.5583 0.8613 0.0438  2 Sb 2.89-2.97, 1 Hg 3.01
Hg31 0.6387 0.1970 0.1825  2 Sb 2.89-2.97, 1 Hg 3.01
Hg32 0.6387 0.9417 0.4562  2 Sb 2.89-2.97, 1 Hg 3.01
Hg33 0.6825 0.4855 0.5438  2 Sb 2.89-2.97, 1 Hg 3.01
Hg34 0.6825 0.6970 0.1387  2 Sb 2.89-2.97, 1 Hg 3.01
Hg35 0.6970 0.0583 0.0145  2 Sb 2.89-2.97, 1 Hg 3.01
Hg36 0.6970 0.1387 0.6825  2 Sb 2.89-2.97, 1 Hg 3.01
Hg37 0.8030 0.4855 0.4417  2 Sb 2.89-2.97, 1 Hg 3.01
Hg38 0.8030 0.8175 0.3613  2 Sb 2.89-2.97, 1 Hg 3.01
Hg39 0.8175 0.3613 0.8030  2 Sb 2.89-2.97, 1 Hg 3.01
Hg40 0.8175 0.9562 0.0145  2 Sb 2.89-2.97, 1 Hg 3.01
Hg41 0.8613 0.0438 0.5583  2 Sb 2.89-2.97, 1 Hg 3.01
Hg42 0.8613 0.3175 0.3030  2 Sb 2.89-2.97, 1 Hg 3.01
Hg43 0.9417 0.4562 0.6387  2 Sb 2.89-2.97, 1 Hg 3.01
Hg44 0.9417 0.9855 0.3030  2 Sb 2.89-2.97, 1 Hg 3.01
Hg45 0.9562 0.0145 0.8175  2 Sb 2.89-2.97, 1 Hg 3.01
Hg46 0.9562 0.4417 0.1387  2 Sb 2.89-2.97, 1 Hg 3.01
Hg47 0.9855 0.1825 0.0438  2 Sb 2.89-2.97, 1 Hg 3.01
Hg48 0.9855 0.3030 0.9417  2 Sb 2.89-2.97, 1 Hg 3.01
Sb1 0.0000 0.0000 0.0000  6 Hg 2.97
Sb2 0.0000 0.0000 0.5000  6 Hg 2.97
Sb3 0.0000 0.5000 0.0000  6 Hg 2.97
Sb4 0.0000 0.5000 0.5000  6 Hg 2.97
Sb5 0.1250 0.7500 0.8750  4 Hg 2.89
Sb6 0.1250 0.8750 0.2500  4 Hg 2.89
Sb7 0.2500 0.1250 0.8750  4 Hg 2.89
Sb8 0.2500 0.6250 0.3750  4 Hg 2.89
Sb9 0.3750 0.2500 0.6250  4 Hg 2.89
Sb10 0.3750 0.6250 0.7500  4 Hg 2.89
Sb11 0.5000 0.0000 0.0000  6 Hg 2.97
Sb12 0.5000 0.0000 0.5000  6 Hg 2.97
Sb13 0.5000 0.5000 0.0000  6 Hg 2.97
Sb14 0.5000 0.5000 0.5000  6 Hg 2.97
Sb15 0.6250 0.3750 0.2500  4 Hg 2.89
Sb16 0.6250 0.7500 0.3750  4 Hg 2.89
Sb17 0.7500 0.3750 0.6250  4 Hg 2.89
Sb18 0.7500 0.8750 0.1250  4 Hg 2.89
Sb19 0.8750 0.1250 0.7500  4 Hg 2.89
Sb20 0.8750 0.2500 0.1250  4 Hg 2.89

Spin magnetization, μB per cell: 0.00
ΔE_f (raw), eV per atom: -0.02
Crystal system: cubic



# 3
A relaxed Cs3Hg6Sb5 crystal, computed with GGA-PBE.

Lattice parameters (Å, degrees): 5.0573 16.2531 12.3679 90.00 90.00 90.00
Closest atoms and distances in Å follow each position.
Sites, in units of the cell vectors:
Cs1 0.2500 0.0503 0.2263  3 Hg 3.57-3.97, 2 Sb 3.91
Cs2 0.2500 0.4497 0.2263  3 Hg 3.57-3.97, 2 Sb 3.91
Cs3 0.2500 0.7500 0.3243  8 Hg 3.64-3.90, 6 Sb 3.83-3.88
Cs4 0.7500 0.2500 0.6757  8 Hg 3.64-3.90, 6 Sb 3.83-3.88
Cs5 0.7500 0.5503 0.7737  3 Hg 3.57-3.97, 2 Sb 3.91
Cs6 0.7500 0.9497 0.7737  3 Hg 3.57-3.97, 2 Sb 3.91
Hg1 0.2500 0.1336 0.8427  3 Sb 2.99-3.06
Hg2 0.2500 0.2500 0.1060  6 Sb 3.38-3.73, 2 Cs 3.57, 2 Hg 3.77
Hg3 0.2500 0.2500 0.4361  2 Sb 2.86
Hg4 0.2500 0.3664 0.8427  3 Sb 2.99-3.06
Hg5 0.2500 0.5915 0.5322  4 Sb 2.95-3.10
Hg6 0.2500 0.9085 0.5322  4 Sb 2.95-3.10
Hg7 0.7500 0.0915 0.4678  4 Sb 2.95-3.10
Hg8 0.7500 0.4085 0.4678  4 Sb 2.95-3.10
Hg9 0.7500 0.6336 0.1573  3 Sb 2.99-3.06
Hg10 0.7500 0.7500 0.5639  2 Sb 2.86
Hg11 0.7500 0.7500 0.8940  6 Sb 3.38-3.73, 2 Cs 3.57, 2 Hg 3.77
Hg12 0.7500 0.8664 0.1573  3 Sb 2.99-3.06
Sb1 0.2500 0.0811 0.6051  4 Hg 2.95-3.06
Sb2 0.2500 0.4189 0.6051  4 Hg 2.95-3.06
Sb3 0.2500 0.6613 0.0329  1 Sb 2.88, 2 Hg 2.99
Sb4 0.2500 0.7500 0.6719  4 Hg 2.86-3.10
Sb5 0.2500 0.8387 0.0329  1 Sb 2.88, 2 Hg 2.99
Sb6 0.7500 0.1613 0.9671  1 Sb 2.88, 2 Hg 2.99
Sb7 0.7500 0.2500 0.3281  4 Hg 2.86-3.10
Sb8 0.7500 0.3387 0.9671  1 Sb 2.88, 2 Hg 2.99
Sb9 0.7500 0.5811 0.3949  4 Hg 2.95-3.06
Sb10 0.7500 0.9189 0.3949  4 Hg 2.95-3.06

Spin magnetization, μB per cell: 0.00
ΔE_f (raw), eV per atom: -0.17
Crystal system: orthorhombic



# 4
A relaxed CsHg8Sb2 crystal, computed with GGA-PBE.

Lattice parameters (Å, degrees): 5.2982 7.2745 9.8533 92.72 105.59 111.18
Closest atoms and distances in Å follow each position.
Sites, in units of the cell vectors:
Cs1 0.0000 0.0000 0.0000  14 Hg 3.98-4.16, 4 Sb 4.00-4.01
Hg1 0.0759 0.7870 0.3693  1 Sb 2.93, 3 Hg 3.06-3.12
Hg2 0.2210 0.5626 0.8779  1 Sb 3.01, 4 Hg 3.03-3.15
Hg3 0.3552 0.3243 0.3892  2 Hg 2.91-3.25, 2 Sb 2.99
Hg4 0.4398 0.6830 0.1994  6 Hg 3.03-3.25, 1 Sb 3.05
Hg5 0.5602 0.3170 0.8006  6 Hg 3.03-3.25, 1 Sb 3.05
Hg6 0.6448 0.6757 0.6108  2 Hg 2.91-3.25, 2 Sb 2.99
Hg7 0.7790 0.4374 0.1221  1 Sb 3.01, 4 Hg 3.03-3.15
Hg8 0.9241 0.2130 0.6307  1 Sb 2.93, 3 Hg 3.06-3.12
Sb1 0.2782 0.8709 0.6824  5 Hg 2.93-3.05
Sb2 0.7218 0.1291 0.3176  5 Hg 2.93-3.05

Spin magnetization, μB per cell: 0.00
ΔE_f (raw), eV per atom: -0.06
Crystal system: triclinic



# 5
A relaxed Cs3Hg7Sb4 crystal, computed with GGA-PBE.

Lattice parameters (Å, degrees): 10.7353 10.7353 12.5252 124.96 124.96 27.81
Closest atoms and distances in Å follow each position.
Sites, in units of the cell vectors:
Cs1 0.0000 0.0000 0.0000  6 Sb 4.00-4.04, 6 Hg 4.13-4.21
Cs2 0.3160 0.3160 0.3212  6 Hg 3.77-4.03, 4 Sb 4.01-4.15
Cs3 0.6840 0.6840 0.6788  6 Hg 3.77-4.03, 4 Sb 4.01-4.15
Hg1 0.0000 0.0000 0.5000  2 Sb 2.73
Hg2 0.1822 0.1822 0.9487  3 Sb 2.88-3.16
Hg3 0.3062 0.3062 0.6329  3 Hg 3.54-3.74, 3 Sb 3.67-3.94, 2 Cs 3.90
Hg4 0.4923 0.4923 0.2494  3 Sb 2.93-2.97
Hg5 0.5077 0.5077 0.7506  3 Sb 2.93-2.97
Hg6 0.6938 0.6938 0.3671  3 Hg 3.54-3.74, 3 Sb 3.67-3.94, 2 Cs 3.90
Hg7 0.8178 0.8178 0.0513  3 Sb 2.88-3.16
Sb1 0.0717 0.0717 0.3751  3 Hg 2.73-2.97
Sb2 0.3446 0.3446 0.9810  4 Hg 2.88-3.16
Sb3 0.6554 0.6554 0.0190  4 Hg 2.88-3.16
Sb4 0.9283 0.9283 0.6249  3 Hg 2.73-2.97

Spin magnetization, μB per cell: 0.00
ΔE_f (raw), eV per atom: -0.19
Crystal system: monoclinic



# 6
A relaxed CsHgSb crystal, computed with GGA-PBE.

Lattice parameters (Å, degrees): 14.2986 4.5692 7.7154 90.00 93.92 90.00
Closest atoms and distances in Å follow each position.
Sites, in units of the cell vectors:
Cs1 0.0000 0.0000 0.0000  5 Hg 3.91-4.01, 4 Sb 4.00-4.07
Cs2 0.1396 0.5000 0.4852  4 Hg 3.76-4.10, 5 Sb 3.92-4.00
Cs3 0.5000 0.5000 0.0000  5 Hg 3.91-4.01, 4 Sb 4.00-4.07
Cs4 0.6396 0.0000 0.4852  4 Hg 3.76-4.10, 5 Sb 3.92-4.00
Hg1 0.2264 0.5000 0.0029  2 Hg 3.31, 2 Sb 3.46
Hg2 0.3070 0.0000 0.7401  2 Hg 3.31, 3 Sb 3.46-3.55
Hg3 0.7264 0.0000 0.0029  2 Hg 3.31, 2 Sb 3.46
Hg4 0.8070 0.5000 0.7401  2 Hg 3.31, 3 Sb 3.46-3.55
Sb1 0.3357 0.0000 0.2870  2 Sb 2.94
Sb2 0.4171 0.5000 0.4848  2 Sb 2.94
Sb3 0.8357 0.5000 0.2870  2 Sb 2.94
Sb4 0.9171 0.0000 0.4848  2 Sb 2.94

Spin magnetization, μB per cell: 0.00
ΔE_f (raw), eV per atom: -0.29
Crystal system: monoclinic



# 7
A relaxed CsHgSb crystal, computed with GGA-PBE.

Lattice parameters (Å, degrees): 9.3006 5.4072 8.4785 90.00 90.00 90.00
Closest atoms and distances in Å follow each position.
Sites, in units of the cell vectors:
Cs1 0.0053 0.2500 0.1679  4 Hg 3.69-3.92, 6 Sb 3.72-4.10, 2 Cs 3.93
Cs2 0.4947 0.7500 0.6679  4 Hg 3.69-3.92, 6 Sb 3.72-4.10, 2 Cs 3.93
Cs3 0.5053 0.2500 0.3321  4 Hg 3.69-3.92, 6 Sb 3.72-4.10, 2 Cs 3.93
Cs4 0.9947 0.7500 0.8321  4 Hg 3.69-3.92, 6 Sb 3.72-4.10, 2 Cs 3.93
Hg1 0.1631 0.7500 0.4078  4 Sb 3.06-3.15
Hg2 0.3369 0.2500 0.9078  4 Sb 3.06-3.15
Hg3 0.6631 0.7500 0.0922  4 Sb 3.06-3.15
Hg4 0.8369 0.2500 0.5922  4 Sb 3.06-3.15
Sb1 0.1691 0.2500 0.5981  4 Hg 3.06-3.15
Sb2 0.3309 0.7500 0.0981  4 Hg 3.06-3.15
Sb3 0.6691 0.2500 0.9019  4 Hg 3.06-3.15
Sb4 0.8309 0.7500 0.4019  4 Hg 3.06-3.15

Spin magnetization, μB per cell: 0.00
ΔE_f (raw), eV per atom: -0.31
Crystal system: orthorhombic



# 8
A relaxed CsHgSb4 crystal, computed with GGA-PBE.

Lattice parameters (Å, degrees): 6.8267 6.8267 6.8267 60.00 60.00 60.00
Closest atoms and distances in Å follow each position.
Sites, in units of the cell vectors:
Cs1 0.0000 0.0000 0.0000  12 Sb 4.06, 4 Hg 4.18
Hg1 0.2500 0.2500 0.2500  12 Sb 3.96, 4 Cs 4.18
Sb1 0.1754 0.6082 0.6082  3 Sb 2.95
Sb2 0.6082 0.1754 0.6082  3 Sb 2.95
Sb3 0.6082 0.6082 0.1754  3 Sb 2.95
Sb4 0.6082 0.6082 0.6082  3 Sb 2.95

Spin magnetization, μB per cell: 0.05
ΔE_f (raw), eV per atom: -0.05
Crystal system: cubic



# 9
A relaxed Cs3Hg3Sb2 crystal, computed with GGA-PBE.

Lattice parameters (Å, degrees): 9.8461 18.5079 7.5046 90.00 90.00 90.00
Closest atoms and distances in Å follow each position.
Sites, in units of the cell vectors:
Cs1 0.0229 0.1014 0.1260  6 Hg 3.76-4.11, 4 Sb 3.95-4.15
Cs2 0.0229 0.3986 0.1260  6 Hg 3.76-4.11, 4 Sb 3.95-4.15
Cs3 0.1447 0.2500 0.6453  5 Hg 3.93-4.17, 4 Sb 4.06-4.07
Cs4 0.3553 0.7500 0.1453  5 Hg 3.93-4.17, 4 Sb 4.06-4.07
Cs5 0.4771 0.6014 0.6260  6 Hg 3.76-4.11, 4 Sb 3.95-4.15
Cs6 0.4771 0.8986 0.6260  6 Hg 3.76-4.11, 4 Sb 3.95-4.15
Cs7 0.5229 0.1014 0.3740  6 Hg 3.76-4.11, 4 Sb 3.95-4.15
Cs8 0.5229 0.3986 0.3740  6 Hg 3.76-4.11, 4 Sb 3.95-4.15
Cs9 0.6447 0.2500 0.8547  5 Hg 3.93-4.17, 4 Sb 4.06-4.07
Cs10 0.8553 0.7500 0.3547  5 Hg 3.93-4.17, 4 Sb 4.06-4.07
Cs11 0.9771 0.6014 0.8740  6 Hg 3.76-4.11, 4 Sb 3.95-4.15
Cs12 0.9771 0.8986 0.8740  6 Hg 3.76-4.11, 4 Sb 3.95-4.15
Hg1 0.1640 0.0384 0.6050  3 Sb 2.92-3.06
Hg2 0.1640 0.4616 0.6050  3 Sb 2.92-3.06
Hg3 0.1937 0.7500 0.6311  2 Sb 3.68, 6 Cs 3.92-3.98
Hg4 0.3063 0.2500 0.1311  2 Sb 3.68, 6 Cs 3.92-3.98
Hg5 0.3360 0.5384 0.1050  3 Sb 2.92-3.06
Hg6 0.3360 0.9616 0.1050  3 Sb 2.92-3.06
Hg7 0.6640 0.0384 0.8950  3 Sb 2.92-3.06
Hg8 0.6640 0.4616 0.8950  3 Sb 2.92-3.06
Hg9 0.6937 0.7500 0.8689  2 Sb 3.68, 6 Cs 3.92-3.98
Hg10 0.8063 0.2500 0.3689  2 Sb 3.68, 6 Cs 3.92-3.98
Hg11 0.8360 0.5384 0.3950  3 Sb 2.92-3.06
Hg12 0.8360 0.9616 0.3950  3 Sb 2.92-3.06
Sb1 0.1319 0.5872 0.3612  3 Hg 2.92-3.06
Sb2 0.1319 0.9128 0.3612  3 Hg 2.92-3.06
Sb3 0.3681 0.0872 0.8612  3 Hg 2.92-3.06
Sb4 0.3681 0.4128 0.8612  3 Hg 2.92-3.06
Sb5 0.6319 0.5872 0.1388  3 Hg 2.92-3.06
Sb6 0.6319 0.9128 0.1388  3 Hg 2.92-3.06
Sb7 0.8681 0.0872 0.6388  3 Hg 2.92-3.06
Sb8 0.8681 0.4128 0.6388  3 Hg 2.92-3.06

Spin magnetization, μB per cell: 0.00
ΔE_f (raw), eV per atom: -0.31
Crystal system: orthorhombic



# 10
A relaxed CsHg4Sb crystal, computed with GGA-PBE.

Lattice parameters (Å, degrees): 6.4696 6.4696 6.4696 60.00 60.00 60.00
Closest atoms and distances in Å follow each position.
Sites, in units of the cell vectors:
Cs1 0.0000 0.0000 0.0000  12 Hg 3.80, 4 Sb 3.96
Hg1 0.3760 0.3760 0.3760  6 Hg 3.21-3.26
Hg2 0.3760 0.3760 0.8720  6 Hg 3.21-3.26
Hg3 0.3760 0.8720 0.3760  6 Hg 3.21-3.26
Hg4 0.8720 0.3760 0.3760  6 Hg 3.21-3.26
Sb1 0.7500 0.7500 0.7500  12 Hg 3.79, 4 Cs 3.96

Spin magnetization, μB per cell: 0.00
ΔE_f (raw), eV per atom: -0.01
Crystal system: cubic
ΔE to the lowest computed polymorph, meV/atom: 130



# 11
A relaxed Cs3Hg8Sb3 crystal, computed with GGA-PBE.

Lattice parameters (Å, degrees): 10.2524 10.2524 10.9668 121.41 121.41 29.86
Closest atoms and distances in Å follow each position.
Sites, in units of the cell vectors:
Cs1 0.0000 0.0000 0.0000  8 Hg 3.75-4.01, 4 Sb 3.93
Cs2 0.3009 0.3009 0.3165  11 Hg 3.69-4.05, 2 Sb 4.08
Cs3 0.6991 0.6991 0.6835  11 Hg 3.69-4.05, 2 Sb 4.08
Hg1 0.1275 0.1275 0.4062  2 Hg 3.07, 1 Sb 3.20
Hg2 0.1698 0.1698 0.9064  3 Sb 2.97-3.18
Hg3 0.3521 0.3521 0.7138  3 Hg 3.07-3.30, 1 Sb 3.09
Hg4 0.4929 0.4929 0.3227  3 Sb 3.14-3.24, 3 Hg 3.30-3.51
Hg5 0.5071 0.5071 0.6773  3 Sb 3.14-3.24, 3 Hg 3.30-3.51
Hg6 0.6479 0.6479 0.2862  3 Hg 3.07-3.30, 1 Sb 3.09
Hg7 0.8302 0.8302 0.0936  3 Sb 2.97-3.18
Hg8 0.8725 0.8725 0.5938  2 Hg 3.07, 1 Sb 3.20
Sb1 0.0000 0.0000 0.5000  6 Hg 3.20-3.24
Sb2 0.3517 0.3517 0.9952  5 Hg 2.97-3.18
Sb3 0.6483 0.6483 0.0048  5 Hg 2.97-3.18

Spin magnetization, μB per cell: 0.00
ΔE_f (raw), eV per atom: -0.19
Crystal system: monoclinic



# 12
A relaxed Cs5HgSb2 crystal, computed with GGA-PBE.

Lattice parameters (Å, degrees): 11.9624 11.9624 11.9624 31.87 31.87 31.87
Closest atoms and distances in Å follow each position.
Sites, in units of the cell vectors:
Cs1 0.0000 0.0000 0.0000  8 Cs 4.22-4.38, 6 Sb 4.69
Cs2 0.1287 0.1287 0.1287  3 Hg 4.01, 3 Sb 4.13, 1 Cs 4.38
Cs3 0.2787 0.2787 0.2787  3 Sb 3.90, 3 Cs 4.22
Cs4 0.7213 0.7213 0.7213  3 Sb 3.90, 3 Cs 4.22
Cs5 0.8713 0.8713 0.8713  3 Hg 4.01, 3 Sb 4.13, 1 Cs 4.38
Hg1 0.5000 0.5000 0.5000  2 Sb 2.92
Sb1 0.4143 0.4143 0.4143  1 Hg 2.92
Sb2 0.5857 0.5857 0.5857  1 Hg 2.92

Spin magnetization, μB per cell: 0.00
ΔE_f (raw), eV per atom: -0.33
Crystal system: trigonal